# 1
Compound: RbCr2BiO8
Source: the Alexandria database
Functional: GGA-PBEsol
Structure: relaxed

The structure in POSCAR format:
```
RbCr2BiO8
1.0
10.043 0.000 0.000
0.000 13.039 0.000
0.000 0.000 5.628
Rb Cr Bi O
4 8 4 32
Cartesian
0.787 3.260 1.407 Rb
4.235 9.779 1.407 Rb
5.809 3.260 4.221 Rb
9.257 9.779 4.221 Rb
0.855 7.618 1.309 Cr
0.855 11.940 1.506 Cr
4.167 1.098 1.506 Cr
4.167 5.421 1.309 Cr
5.876 7.618 4.320 Cr
5.876 11.940 4.123 Cr
9.189 1.098 4.123 Cr
9.189 5.421 4.320 Cr
2.511 0.000 4.564 Bi
2.511 6.519 3.878 Bi
7.533 0.000 1.064 Bi
7.533 6.519 1.750 Bi
0.759 1.474 4.003 O
0.759 5.046 4.440 O
1.024 0.449 1.039 O
1.024 6.071 1.775 O
1.591 7.844 5.450 O
1.583 8.492 2.493 O
1.583 11.066 0.322 O
1.591 11.714 2.992 O
3.430 1.325 2.992 O
3.439 1.973 0.322 O
3.439 4.547 2.493 O
3.430 5.195 5.450 O
3.998 6.968 1.775 O
3.998 12.590 1.039 O
4.263 7.993 4.440 O
4.263 11.565 4.003 O
5.781 1.474 1.626 O
5.781 5.046 1.188 O
6.046 0.449 4.590 O
6.046 6.071 3.853 O
6.613 7.844 0.178 O
6.604 8.492 3.136 O
6.604 11.066 5.307 O
6.613 11.714 2.636 O
8.452 1.325 2.636 O
8.461 1.973 5.307 O
8.461 4.547 3.136 O
8.452 5.195 0.178 O
9.020 6.968 3.853 O
9.020 12.590 4.590 O
9.285 7.993 1.188 O
9.285 11.565 1.626 O
```

Properties
Theoretical density   4.7 g cm⁻³
E_form (uncorrected)   -1.7592 eV/atom
Raw total energy   -88.90 eV per formula unit
Space-group type   Pnna, No. 52
Total magnetic moment   0.000 μB per atom

# 2
Compound: SrCr2BiO6
Source: the Alexandria database
Functional: GGA-PBEsol
Structure: relaxed

The structure in POSCAR format:
```
SrCr2BiO6
1.0
2.721 1.571 4.407
-2.721 1.571 4.407
0.000 -3.142 4.407
Sr Cr Bi O
1 2 1 6
Cartesian
0.000 0.000 0.000 Sr
0.000 0.000 3.260 Cr
0.000 0.000 9.903 Cr
0.000 0.000 6.847 Bi
-1.195 -2.064 6.528 O
-1.430 0.538 8.649 O
-1.190 2.067 6.528 O
0.249 -1.507 8.649 O
2.385 -0.003 6.528 O
1.181 0.969 8.649 O
```

Properties
Theoretical density   7.3 g cm⁻³
E_form (uncorrected)   -2.0072 eV/atom
Raw total energy   -78.18 eV per formula unit
Space-group type   R3, No. 146
Total magnetic moment   0.500 μB per atom

# 3
Compound: ZnCrBiO5
Source: the Alexandria database
Functional: GGA-PBEsol
Structure: relaxed

The structure in POSCAR format:
```
ZnCrBiO5
1.0
5.258 0.000 0.000
0.000 11.556 0.000
-3.094 0.000 7.219
Zn Cr Bi O
4 4 4 20
Cartesian
-0.260 0.940 1.241 Zn
-1.807 4.838 4.851 Zn
3.971 6.718 2.368 Zn
2.424 10.616 5.978 Zn
1.560 7.477 0.222 Cr
0.013 9.857 3.832 Cr
2.151 1.699 3.388 Cr
0.604 4.079 6.997 Cr
-0.276 1.166 5.921 Bi
1.271 4.612 2.311 Bi
0.893 6.944 4.908 Bi
2.440 10.390 1.299 Bi
-0.526 8.250 3.555 O
-2.073 9.084 7.165 O
0.521 6.586 1.228 O
-1.026 10.748 4.837 O
-1.218 6.649 5.996 O
0.329 10.685 2.387 O
1.320 0.292 0.111 O
-0.227 5.486 3.720 O
0.705 2.062 2.575 O
-0.842 3.716 6.185 O
3.006 7.840 1.034 O
1.459 9.494 4.644 O
2.391 6.070 3.499 O
0.844 11.264 7.109 O
1.835 0.871 4.833 O
3.382 4.907 1.223 O
3.190 0.808 2.382 O
1.643 4.970 5.992 O
4.237 2.472 0.055 O
2.690 3.306 3.664 O
```

Properties
Theoretical density   6.2 g cm⁻³
E_form (uncorrected)   -1.5225 eV/atom
Raw total energy   -54.54 eV per formula unit
Space-group type   P2_1/c, No. 14
Total magnetic moment   0.125 μB per atom

# 4
Compound: CrBiOs3
Source: the Alexandria database
Functional: GGA-PBEsol
Structure: relaxed

The structure in POSCAR format:
```
CrBiOs3
1.0
4.488 0.000 0.000
0.000 4.488 0.000
0.000 0.000 4.488
Cr Bi Os
1 1 3
Cartesian
0.000 0.000 0.000 Cr
2.244 2.244 2.244 Bi
0.000 0.000 2.244 Os
0.000 2.244 0.000 Os
2.244 0.000 0.000 Os
```

Properties
Theoretical density   15.3 g cm⁻³
Raw total energy   -43.10 eV per formula unit
Space-group type   Pm-3m, No. 221
Total magnetic moment   0.000 μB per atom
Energy of formation   1.61 eV per atom

# 5
Compound: YCr2BiOs
Source: the Alexandria database
Functional: GGA-PBEsol
Structure: relaxed

The structure in POSCAR format:
```
YCr2BiOs
1.0
4.928 0.000 0.000
0.000 4.928 0.000
0.000 0.000 5.040
Y Cr Bi Os
1 2 1 1
Cartesian
0.000 0.000 0.000 Y
0.000 2.464 2.520 Cr
2.464 0.000 2.520 Cr
2.464 2.464 2.520 Bi
2.464 2.464 0.000 Os
```

Properties
Theoretical density   8.0 g cm⁻³
Raw total energy   -35.84 eV per formula unit
Space-group type   P4/mmm, No. 123
Total magnetic moment   1.431 μB per atom
Energy of formation   1.59 eV per atom

# 6
Compound: Ti2CrBiPb
Source: the Alexandria database
Functional: GGA-PBEsol
Structure: relaxed

The structure in POSCAR format:
```
Ti2CrBiPb
1.0
4.641 0.000 0.000
0.000 4.641 0.000
0.000 0.000 4.992
Ti Cr Bi Pb
2 1 1 1
Cartesian
0.000 2.320 0.000 Ti
2.320 0.000 0.000 Ti
0.000 0.000 0.000 Cr
0.000 0.000 2.496 Bi
2.320 2.320 2.496 Pb
```

Properties
Theoretical density   8.7 g cm⁻³
Raw total energy   -32.41 eV per formula unit
Space-group type   P4/mmm, No. 123
Total magnetic moment   0.002 μB per atom
Energy of formation   0.55 eV per atom

# 7
Compound: CrBiPd3
Source: the Alexandria database
Functional: GGA-PBEsol
Structure: relaxed

The structure in POSCAR format:
```
CrBiPd3
1.0
4.943 0.000 0.000
0.000 4.943 0.000
0.000 0.000 4.943
Cr Bi Pd
1 1 3
Cartesian
0.000 0.000 0.000 Cr
2.472 2.472 2.472 Bi
0.000 2.472 2.472 Pd
2.472 0.000 2.472 Pd
2.472 2.472 0.000 Pd
```

Properties
Theoretical density   8.0 g cm⁻³
Raw total energy   -27.14 eV per formula unit
Space-group type   Pm-3m, No. 221
Total magnetic moment   0.939 μB per atom
Energy of formation   1.05 eV per atom

# 8
Compound: TlCrBiPt2
Source: the Alexandria database
Functional: GGA-PBEsol
Structure: relaxed

The structure in POSCAR format:
```
TlCrBiPt2
1.0
5.085 0.000 0.000
0.000 5.085 0.000
0.000 0.000 5.176
Tl Cr Bi Pt
1 1 1 2
Cartesian
0.000 0.000 0.000 Tl
2.542 2.542 0.000 Cr
2.542 2.542 2.588 Bi
0.000 2.542 2.588 Pt
2.542 0.000 2.588 Pt
```

Properties
Theoretical density   10.6 g cm⁻³
Raw total energy   -25.67 eV per formula unit
Space-group type   P4/mmm, No. 123
Total magnetic moment   0.890 μB per atom
Energy of formation   1.08 eV per atom

# 9
Compound: RbCrSi2Bi
Source: the Alexandria database
Functional: GGA-PBEsol
Structure: relaxed

The structure in POSCAR format:
```
RbCrSi2Bi
1.0
5.541 0.000 0.000
0.000 5.541 0.000
0.000 0.000 5.235
Rb Cr Si Bi
1 1 2 1
Cartesian
0.000 0.000 0.000 Rb
2.771 2.771 0.000 Cr
0.000 2.771 2.617 Si
2.771 0.000 2.617 Si
2.771 2.771 2.617 Bi
```

Properties
Theoretical density   4.2 g cm⁻³
E_form (uncorrected)   1.1674 eV/atom
Raw total energy   -21.21 eV per formula unit
Space-group type   P4/mmm, No. 123
Total magnetic moment   0.739 μB per atom

# 10
Compound: Cr2BiRhSe
Source: the Alexandria database
Functional: GGA-PBEsol
Structure: relaxed

The structure in POSCAR format:
```
Cr2BiRhSe
1.0
4.506 0.000 0.000
0.000 4.506 0.000
0.000 0.000 5.480
Cr Bi Rh Se
2 1 1 1
Cartesian
0.000 2.253 0.000 Cr
2.253 0.000 0.000 Cr
0.000 0.000 2.740 Bi
2.253 2.253 2.740 Rh
0.000 0.000 0.000 Se
```

Properties
Theoretical density   7.4 g cm⁻³
E_form (uncorrected)   1.1297 eV/atom
Raw total energy   -31.11 eV per formula unit
Space-group type   P4/mmm, No. 123
Total magnetic moment   1.518 μB per atom

# 11
Compound: CrBiRu3
Source: the Alexandria database
Functional: GGA-PBEsol
Structure: relaxed

The structure in POSCAR format:
```
CrBiRu3
1.0
4.856 0.000 0.000
0.000 4.856 0.000
0.000 0.000 4.856
Cr Bi Ru
1 1 3
Cartesian
0.000 0.000 0.000 Cr
2.428 2.428 2.428 Bi
0.000 2.428 2.428 Ru
2.428 0.000 2.428 Ru
2.428 2.428 0.000 Ru
```

Properties
Theoretical density   8.2 g cm⁻³
Raw total energy   -33.09 eV per formula unit
Space-group type   Pm-3m, No. 221
Total magnetic moment   0.210 μB per atom
Energy of formation   2.39 eV per atom

# 12
Compound: CrBiS2
Source: the Alexandria database
Functional: GGA-PBEsol
Structure: relaxed

The structure in POSCAR format:
```
CrBiS2
1.0
1.733 1.000 8.095
-1.733 1.000 8.095
0.000 -2.001 8.095
Cr Bi S
1 1 2
Cartesian
0.000 0.000 0.000 Cr
0.000 0.000 12.143 Bi
0.000 0.000 9.354 S
0.000 0.000 14.932 S
```

Properties
Theoretical density   6.4 g cm⁻³
E_form (uncorrected)   -0.5262 eV/atom
Raw total energy   -25.40 eV per formula unit
Space-group type   R-3m, No. 166
Total magnetic moment   0.755 μB per atom

# 13
Compound: ScCrBi2Sb
Source: the Alexandria database
Functional: GGA-PBEsol
Structure: relaxed

The structure in POSCAR format:
```
ScCrBi2Sb
1.0
5.472 0.000 0.000
0.000 5.472 0.000
0.000 0.000 5.351
Sc Cr Bi Sb
1 1 2 1
Cartesian
0.000 0.000 0.000 Sc
2.736 2.736 2.676 Cr
0.000 2.736 0.000 Bi
2.736 0.000 0.000 Bi
0.000 0.000 2.676 Sb
```

Properties
Theoretical density   6.6 g cm⁻³
E_form (uncorrected)   0.6623 eV/atom
Raw total energy   -26.66 eV per formula unit
Space-group type   P4/mmm, No. 123
Total magnetic moment   0.968 μB per atom

# 14
Compound: Sc3CrBi
Source: the Alexandria database
Functional: GGA-PBEsol
Structure: relaxed

The structure in POSCAR format:
```
Sc3CrBi
1.0
5.364 0.000 0.000
0.000 5.364 0.000
0.000 0.000 5.364
Sc Cr Bi
3 1 1
Cartesian
0.000 0.000 2.682 Sc
0.000 2.682 0.000 Sc
2.682 0.000 0.000 Sc
2.682 2.682 2.682 Cr
0.000 0.000 0.000 Bi
```

Properties
Theoretical density   4.3 g cm⁻³
Raw total energy   -29.96 eV per formula unit
Space-group type   Pm-3m, No. 221
Total magnetic moment   1.165 μB per atom
Energy of formation   0.88 eV per atom

# 15
Compound: CrBiSe2
Source: the Alexandria database
Functional: GGA-PBEsol
Structure: relaxed

The structure in POSCAR format:
```
CrBiSe2
1.0
1.790 1.033 8.552
-1.790 1.033 8.552
0.000 -2.067 8.552
Cr Bi Se
1 1 2
Cartesian
0.000 0.000 0.000 Cr
0.000 0.000 12.828 Bi
0.000 0.000 9.920 Se
0.000 0.000 15.735 Se
```

Properties
Theoretical density   7.3 g cm⁻³
E_form (uncorrected)   -0.3573 eV/atom
Raw total energy   -23.66 eV per formula unit
Space-group type   R-3m, No. 166
Total magnetic moment   0.745 μB per atom

# 16
Compound: CrBi3Se
Source: the Alexandria database
Functional: GGA-PBEsol
Structure: relaxed

The structure in POSCAR format:
```
CrBi3Se
1.0
5.457 0.000 0.000
0.000 5.457 0.000
0.000 0.000 5.457
Cr Bi Se
1 3 1
Cartesian
0.000 0.000 0.000 Cr
0.000 2.729 2.729 Bi
2.729 0.000 2.729 Bi
2.729 2.729 0.000 Bi
2.729 2.729 2.729 Se
```

Properties
Theoretical density   7.7 g cm⁻³
E_form (uncorrected)   0.9318 eV/atom
Raw total energy   -22.29 eV per formula unit
Space-group type   Pm-3m, No. 221
Total magnetic moment   0.787 μB per atom

# 17
Compound: CrSnBi2
Source: the Alexandria database
Functional: GGA-PBEsol
Structure: relaxed

The structure in POSCAR format:
```
CrSnBi2
1.0
-3.241 3.241 6.616
3.241 -3.241 6.616
3.241 3.241 -6.616
Cr Sn Bi
2 2 4
Cartesian
0.000 0.000 0.000 Cr
0.000 3.241 3.308 Cr
3.241 0.000 3.308 Sn
0.000 0.000 6.616 Sn
4.861 1.440 -1.654 Bi
1.440 1.620 1.654 Bi
-1.620 1.801 4.962 Bi
1.801 1.620 8.270 Bi
```

Properties
Theoretical density   7.0 g cm⁻³
Raw total energy   -20.85 eV per formula unit
Space-group type   I-42d, No. 122
Total magnetic moment   0.996 μB per atom
Energy of formation   0.56 eV per atom

# 18
Compound: SrCrBi2
Source: the Alexandria database
Functional: GGA-PBEsol
Structure: relaxed

The structure in POSCAR format:
```
SrCrBi2
1.0
0.000 3.803 3.803
3.803 0.000 3.803
3.803 3.803 0.000
Sr Cr Bi
1 1 2
Cartesian
0.000 0.000 0.000 Sr
3.803 3.803 3.803 Cr
1.902 1.902 1.902 Bi
5.705 5.705 5.705 Bi
```

Properties
Theoretical density   8.4 g cm⁻³
Raw total energy   -20.45 eV per formula unit
Space-group type   Fm-3m, No. 225
Total magnetic moment   0.950 μB per atom
Energy of formation   0.05 eV per atom

# 19
Compound: CrTcBi3
Source: the Alexandria database
Functional: GGA-PBEsol
Structure: relaxed

The structure in POSCAR format:
```
CrTcBi3
1.0
5.103 0.000 0.000
0.000 5.103 0.000
0.000 0.000 5.103
Cr Tc Bi
1 1 3
Cartesian
0.000 0.000 0.000 Cr
2.551 2.551 2.551 Tc
0.000 0.000 2.551 Bi
0.000 2.551 0.000 Bi
2.551 0.000 0.000 Bi
```

Properties
Theoretical density   9.7 g cm⁻³
Raw total energy   -27.92 eV per formula unit
Space-group type   Pm-3m, No. 221
Total magnetic moment   1.008 μB per atom
Energy of formation   1.29 eV per atom

# 20
Compound: CrBi3Te
Source: the Alexandria database
Functional: GGA-PBEsol
Structure: relaxed

The structure in POSCAR format:
```
CrBi3Te
1.0
5.117 0.000 0.000
0.000 5.117 0.000
0.000 0.000 5.117
Cr Bi Te
1 3 1
Cartesian
0.000 0.000 0.000 Cr
0.000 0.000 2.558 Bi
0.000 2.558 0.000 Bi
2.558 0.000 0.000 Bi
2.558 2.558 2.558 Te
```

Properties
Theoretical density   10.0 g cm⁻³
E_form (uncorrected)   0.3287 eV/atom
Raw total energy   -24.98 eV per formula unit
Space-group type   Pm-3m, No. 221
Total magnetic moment   0.000 μB per atom